1.
Computed, not measured: a geometry-optimized K2Na4Tl structure at the PBE level of DFT.

Spin magnetization: 0.000 μB per atom
Final energy: -39.774 eV per cell
Density: 2.1 Mg/m³
Offset from the most stable computed form: 0.0000 eV/atom

Lattice parameters (Å, degrees): 9.5875 6.9489 21.3061 123.33 90.00 90.00
Atoms (fractional coordinates):
Na: 0.8427 0.6445 0.5354
Na: 0.1573 0.3555 0.4646
Na: 0.9954 0.8295 0.1963
Na: 0.3427 0.8555 0.4646
Na: 0.6830 0.5607 0.3725
Na: 0.7500 0.0976 0.9091
Na: 0.3170 0.4393 0.6275
Na: 0.2500 0.9024 0.0909
Na: 0.0046 0.1705 0.8037
Na: 0.2500 0.4024 0.0909
Na: 0.4954 0.6705 0.8037
Na: 0.1830 0.9393 0.6275
Na: 0.5046 0.3295 0.1963
Na: 0.8170 0.0607 0.3725
Na: 0.7500 0.5976 0.9091
Na: 0.6573 0.1445 0.5354
Tl: 0.0000 0.5000 0.0000
Tl: 0.5000 0.0000 0.0000
Tl: 0.0000 0.0000 0.5000
Tl: 0.5000 0.5000 0.5000
K: 0.3694 0.3400 0.9044
K: 0.5858 0.9929 0.6938
K: 0.6306 0.6600 0.0956
K: 0.0858 0.5071 0.3062
K: 0.4142 0.0071 0.3062
K: 0.9142 0.4929 0.6938
K: 0.1306 0.8400 0.9044
K: 0.8694 0.1600 0.0956

2.
Computed, not measured: a geometry-optimized K3Na6Tl20 structure at the PBE level of DFT.

Spin magnetization: 0.000 μB per atom
Final energy: -58.378 eV per cell
Density: 7.8 Mg/m³

Lattice parameters (Å, degrees): 10.9486 10.9486 10.9486 60.00 60.00 60.00
Atoms (fractional coordinates):
Tl: 0.6470 0.3530 0.0000
Tl: 0.0000 0.3530 0.0000
Tl: 0.6249 0.6249 0.6249
Tl: 0.6249 0.1254 0.6249
Tl: 0.3751 0.3751 0.8746
Tl: 0.6470 0.0000 0.3530
Tl: 0.0000 0.6470 0.0000
Tl: 0.0000 0.0000 0.6470
Tl: 0.0000 0.3530 0.6470
Tl: 0.6470 0.0000 0.0000
Tl: 0.3751 0.8746 0.3751
Tl: 0.0000 0.6470 0.3530
Tl: 0.0000 0.0000 0.3530
Tl: 0.1254 0.6249 0.6249
Tl: 0.8746 0.3751 0.3751
Tl: 0.3530 0.0000 0.6470
Tl: 0.3751 0.3751 0.3751
Tl: 0.3530 0.6470 0.0000
Tl: 0.3530 0.0000 0.0000
Tl: 0.6249 0.6249 0.1254
K: 0.7500 0.7500 0.7500
K: 0.0000 0.0000 0.0000
K: 0.2500 0.2500 0.2500
Na: 0.7225 0.2775 0.2775
Na: 0.2775 0.7225 0.2775
Na: 0.7225 0.2775 0.7225
Na: 0.2775 0.7225 0.7225
Na: 0.7225 0.7225 0.2775
Na: 0.2775 0.2775 0.7225

3.
Computed, not measured: a geometry-optimized K12Na5Tl2 structure at the PBE level of DFT.

Spin magnetization: 0.000 μB per atom
Final energy: -24.599 eV per cell
Density: 1.6 Mg/m³

Lattice parameters (Å, degrees): 10.1597 10.1597 10.4063 80.33 80.33 78.81
Atoms (fractional coordinates):
K: 0.3718 0.8366 0.6292
K: 0.1634 0.6282 0.3708
K: 0.3996 0.3996 0.7378
K: 0.3522 0.9897 0.1720
K: 0.6478 0.0103 0.8280
K: 0.1017 0.1017 0.8521
K: 0.0103 0.6478 0.8280
K: 0.8983 0.8983 0.1479
K: 0.9897 0.3522 0.1720
K: 0.6282 0.1634 0.3708
K: 0.8366 0.3718 0.6292
K: 0.6004 0.6004 0.2622
Na: 0.7665 0.7665 0.5290
Na: 0.6090 0.6090 0.8928
Na: 0.3910 0.3910 0.1072
Na: 0.0000 0.0000 0.5000
Na: 0.2335 0.2335 0.4710
Tl: 0.2826 0.7174 0.0000
Tl: 0.7174 0.2826 0.0000

Calculated formation enthalpy at 0 K, -0.015 0.005 -0.005 eV/atom (same order as the records).